# PBE TbSc2Os, optimized geometry
data_TbSc2Os
_chemical_formula_sum 'Tb4 Sc8 Os4'
_space_group_name_H-M_alt 'C m c m'
_space_group_IT_number 63
_space_group_name_Hall '-C 2c 2'
_cell_length_a 3.911
_cell_length_b 11.241
_cell_length_c 8.436
_cell_angle_alpha 90.00
_cell_angle_beta 90.00
_cell_angle_gamma 90.00
loop_
_atom_site_label
_atom_site_fract_x
_atom_site_fract_y
_atom_site_fract_z
_atom_site_occupancy
Tb1 0.000 0.065 0.250 1
Sc1 0.000 0.350 0.064 1
Os1 0.000 0.247 0.750 1
# Crystal system: orthorhombic
# Offset from the most stable computed form: 0 meV/atom
# DFT formation energy: -0.273 eV/atom
# M_tot: 0.012 μB per cell

---

# PBE KCaSn, optimized geometry
data_KCaSn
_chemical_formula_sum 'K2 Ca2 Sn2'
_space_group_name_H-M_alt 'P 4/n m m'
_space_group_IT_number 129
_cell_length_a 5.171
_cell_length_b 5.171
_cell_length_c 9.107
_cell_angle_alpha 90.00
_cell_angle_beta 90.00
_cell_angle_gamma 90.00
loop_
_space_group_symop_operation_xyz
'x,y,z'
'-x,-y,-z'
'-y+1/2,x,z'
'y+1/2,-x,-z'
'-x+1/2,-y+1/2,z'
'x+1/2,y+1/2,-z'
'y,-x+1/2,z'
'-y,x+1/2,-z'
'x+1/2,-y,-z'
'-x+1/2,y,z'
'-y,-x,-z'
'y,x,z'
'-x,y+1/2,-z'
'x,-y+1/2,z'
'y+1/2,x+1/2,-z'
'-y+1/2,-x+1/2,z'
loop_
_atom_site_label
_atom_site_fract_x
_atom_site_fract_y
_atom_site_fract_z
_atom_site_occupancy
K1 0.250 0.250 0.129 1
Ca1 0.250 0.750 0.500 1
Sn1 0.250 0.250 0.720 1
# Crystal system: tetragonal
# DFT formation energy: -0.274 eV/atom
# M_tot: 0.465 μB per cell

---

# PBE InGa2Ir, optimized geometry
data_InGa2Ir
_chemical_formula_sum 'In3 Ga6 Ir3'
_space_group_name_H-M_alt 'R -3 m'
_space_group_IT_number 166
_space_group_name_Hall '-R 3 2"'
_cell_length_a 4.2199
_cell_length_b 4.2199
_cell_length_c 15.7254
_cell_angle_alpha 90.00
_cell_angle_beta 90.00
_cell_angle_gamma 120.00
loop_
_atom_site_label
_atom_site_fract_x
_atom_site_fract_y
_atom_site_fract_z
_atom_site_occupancy
In1 0.0000 0.0000 0.0000 1
Ga1 0.0000 0.0000 0.2154 1
Ir1 0.0000 0.0000 0.5000 1
# Crystal system: trigonal
# DFT formation energy: -0.011 eV/atom
# M_tot: 0.000 μB per cell

---

# PBE CeMg2Ag, optimized geometry
data_CeMg2Ag
_chemical_formula_sum 'Ce4 Mg8 Ag4'
_space_group_name_H-M_alt 'F m -3 m'
_space_group_IT_number 225
_space_group_name_Hall '-F 4 2 3'
_cell_length_a 7.166
_cell_length_b 7.166
_cell_length_c 7.166
_cell_angle_alpha 90.00
_cell_angle_beta 90.00
_cell_angle_gamma 90.00
loop_
_atom_site_label
_atom_site_fract_x
_atom_site_fract_y
_atom_site_fract_z
_atom_site_occupancy
Ce1 0.000 0.000 0.000 1
Mg1 0.250 0.250 0.250 1
Ag1 0.000 0.000 0.500 1
# Crystal system: cubic
# DFT formation energy: 0.000 eV/atom
# M_tot: 3.747 μB per cell

---

# PBE YZnAs2Se, optimized geometry
data_YZnAs2Se
_chemical_formula_sum 'Y1 Zn1 As2 Se1'
_space_group_name_H-M_alt 'P 4/m m m'
_space_group_IT_number 123
_space_group_name_Hall '-P 4 2'
_cell_length_a 4.806
_cell_length_b 4.806
_cell_length_c 5.022
_cell_angle_alpha 90.00
_cell_angle_beta 90.00
_cell_angle_gamma 90.00
loop_
_atom_site_label
_atom_site_fract_x
_atom_site_fract_y
_atom_site_fract_z
_atom_site_occupancy
Y1 0.000 0.000 0.000 1
Zn1 0.500 0.500 0.500 1
As1 0.000 0.500 0.500 1
Se1 0.500 0.500 0.000 1
# Crystal system: tetragonal
# Offset from the most stable computed form: 0 meV/atom
# E_form (uncorrected): -0.108 eV per atom
# M_tot: 0.000 μB per cell

---

# PBE Na10B13C7, optimized geometry
data_Na10B13C7
_chemical_formula_sum 'Na20 B26 C14'
_space_group_name_H-M_alt 'C 1 m 1'
_space_group_IT_number 8
_cell_length_a 22.922
_cell_length_b 2.826
_cell_length_c 9.911
_cell_angle_alpha 90.00
_cell_angle_beta 107.53
_cell_angle_gamma 90.00
loop_
_space_group_symop_operation_xyz
'x,y,z'
'x,-y,z'
'x+1/2,y+1/2,z'
'x+1/2,-y+1/2,z'
loop_
_atom_site_label
_atom_site_fract_x
_atom_site_fract_y
_atom_site_fract_z
_atom_site_occupancy
Na1 0.000 0.000 0.000 1
Na2 0.000 0.500 0.498 1
Na3 0.100 0.000 0.698 1
Na4 0.100 0.500 0.199 1
Na5 0.198 0.000 0.398 1
Na6 0.199 0.500 0.898 1
Na7 0.297 0.500 0.598 1
Na8 0.299 0.000 0.095 1
Na9 0.398 0.000 0.800 1
Na10 0.400 0.500 0.295 1
B1 0.019 0.000 0.284 1
B2 0.023 0.500 0.794 1
B3 0.091 0.500 0.931 1
B4 0.115 0.500 0.478 1
B5 0.185 0.000 0.121 1
B6 0.212 0.000 0.674 1
B7 0.279 0.500 0.310 1
B8 0.309 0.500 0.870 1
B9 0.372 0.000 0.495 1
B10 0.381 0.500 0.013 1
B11 0.415 0.500 0.580 1
B12 0.422 0.000 0.093 1
B13 0.481 0.500 0.710 1
C1 0.084 0.000 0.413 1
C2 0.122 0.000 0.993 1
C3 0.180 0.500 0.610 1
C4 0.216 0.500 0.183 1
C5 0.277 0.000 0.806 1
C6 0.310 0.000 0.374 1
C7 0.486 0.000 0.219 1
# Crystal system: monoclinic
# Offset from the most stable computed form: 4 meV/atom
# DFT formation energy: 0.089 eV/atom
# M_tot: 0.013 μB per cell

---

# PBE Pm6Pb3O, optimized geometry
data_Pm6Pb3O
_chemical_formula_sum 'Pm24 Pb12 O4'
_space_group_name_H-M_alt 'C m c 21'
_space_group_IT_number 36
_cell_length_a 12.623
_cell_length_b 14.698
_cell_length_c 6.543
_cell_angle_alpha 90.00
_cell_angle_beta 90.00
_cell_angle_gamma 90.00
loop_
_space_group_symop_operation_xyz
'x,y,z'
'-x,-y,z+1/2'
'-x,y,z'
'x,-y,z+1/2'
'x+1/2,y+1/2,z'
'-x+1/2,-y+1/2,z+1/2'
'-x+1/2,y+1/2,z'
'x+1/2,-y+1/2,z+1/2'
loop_
_atom_site_label
_atom_site_fract_x
_atom_site_fract_y
_atom_site_fract_z
_atom_site_occupancy
Pm1 0.000 0.092 0.000 1
Pm2 0.000 0.302 0.296 1
Pm3 0.158 0.293 0.810 1
Pm4 0.224 0.453 0.347 1
Pb1 0.000 0.481 0.613 1
Pb2 0.123 0.119 0.494 1
O1 0.000 0.251 0.969 1
# Crystal system: orthorhombic
# E_form (uncorrected): -0.842 eV per atom
# M_tot: 0.000 μB per cell

---

# PBE ScBeAu2I, optimized geometry
data_ScBeAu2I
_chemical_formula_sum 'Sc1 Be1 Au2 I1'
_space_group_name_H-M_alt 'P 4/m m m'
_space_group_IT_number 123
_space_group_name_Hall '-P 4 2'
_cell_length_a 4.495
_cell_length_b 4.495
_cell_length_c 5.334
_cell_angle_alpha 90.00
_cell_angle_beta 90.00
_cell_angle_gamma 90.00
loop_
_atom_site_label
_atom_site_fract_x
_atom_site_fract_y
_atom_site_fract_z
_atom_site_occupancy
Sc1 0.000 0.000 0.000 1
Be1 0.000 0.000 0.500 1
Au1 0.000 0.500 0.500 1
I1 0.500 0.500 0.000 1
# Crystal system: tetragonal
# E_form (uncorrected): -0.021 eV per atom
# M_tot: 0.000 μB per cell

---

# PBE Ba2HfMnSe6, optimized geometry
data_Ba2HfMnSe6
_chemical_formula_sum 'Ba4 Hf2 Mn2 Se12'
_space_group_name_H-M_alt 'P 1 21/c 1'
_space_group_IT_number 14
_cell_length_a 7.184
_cell_length_b 7.262
_cell_length_c 12.557
_cell_angle_alpha 90.00
_cell_angle_beta 124.78
_cell_angle_gamma 90.00
loop_
_space_group_symop_operation_xyz
'x,y,z'
'-x,-y,-z'
'-x,y+1/2,-z+1/2'
'x,-y+1/2,z+1/2'
loop_
_atom_site_label
_atom_site_fract_x
_atom_site_fract_y
_atom_site_fract_z
_atom_site_occupancy
Ba1 0.233 0.059 0.249 1
Hf1 0.500 0.000 0.000 1
Mn1 0.000 0.000 0.500 1
Se1 0.172 0.212 0.971 1
Se2 0.257 0.702 0.969 1
Se3 0.305 0.511 0.245 1
# Crystal system: monoclinic
# E_form (uncorrected): -1.270 eV per atom
# M_tot: 6.133 μB per cell

---

# PBE Ba2NaHg2, optimized geometry
data_Ba2NaHg2
_chemical_formula_sum 'Ba4 Na2 Hg4'
_space_group_name_H-M_alt 'I 4/m m m'
_space_group_IT_number 139
_space_group_name_Hall '-I 4 2'
_cell_length_a 4.677
_cell_length_b 4.677
_cell_length_c 19.881
_cell_angle_alpha 90.00
_cell_angle_beta 90.00
_cell_angle_gamma 90.00
loop_
_atom_site_label
_atom_site_fract_x
_atom_site_fract_y
_atom_site_fract_z
_atom_site_occupancy
Ba1 0.000 0.000 0.119 1
Na1 0.000 0.000 0.500 1
Hg1 0.000 0.500 0.250 1
# Crystal system: tetragonal
# Offset from the most stable computed form: 196 meV/atom
# DFT formation energy: -0.205 eV/atom
# M_tot: 0.000 μB per cell

---

# PBE ZrCoTcSn, optimized geometry
data_ZrCoTcSn
_chemical_formula_sum 'Zr4 Co4 Tc4 Sn4'
_space_group_name_H-M_alt 'F -4 3 m'
_space_group_IT_number 216
_space_group_name_Hall 'F -4 2 3'
_cell_length_a 6.416
_cell_length_b 6.416
_cell_length_c 6.416
_cell_angle_alpha 90.00
_cell_angle_beta 90.00
_cell_angle_gamma 90.00
loop_
_atom_site_label
_atom_site_fract_x
_atom_site_fract_y
_atom_site_fract_z
_atom_site_occupancy
Zr1 0.000 0.000 0.000 1
Co1 0.250 0.250 0.250 1
Tc1 0.250 0.250 0.750 1
Sn1 0.000 0.000 0.500 1
# Crystal system: cubic
# DFT formation energy: -0.282 eV/atom
# M_tot: 0.000 μB per cell

---

# PBE CuIrS2, optimized geometry
data_CuIrS2
_chemical_formula_sum 'Cu4 Ir4 S8'
_space_group_name_H-M_alt 'I 41/a m d'
_space_group_IT_number 141
_cell_length_a 4.818
_cell_length_b 4.818
_cell_length_c 10.996
_cell_angle_alpha 90.00
_cell_angle_beta 90.00
_cell_angle_gamma 90.00
loop_
_space_group_symop_operation_xyz
'x,y,z'
'-x,-y,-z'
'-y+1/4,x+3/4,z+1/4'
'y+1/4,-x+3/4,-z+1/4'
'-x+1/2,-y,z+1/2'
'x+1/2,y,-z+1/2'
'y+1/4,-x+1/4,z+3/4'
'-y+1/4,x+1/4,-z+3/4'
'x,-y,-z'
'-x,y,z'
'-y+1/4,-x+1/4,-z+3/4'
'y+1/4,x+1/4,z+3/4'
'-x+1/2,y,-z+1/2'
'x+1/2,-y,z+1/2'
'y+1/4,x+3/4,-z+1/4'
'-y+1/4,-x+3/4,z+1/4'
'x+1/2,y+1/2,z+1/2'
'-x+1/2,-y+1/2,-z+1/2'
'-y+3/4,x+1/4,z+3/4'
'y+3/4,-x+1/4,-z+3/4'
'-x,-y+1/2,z'
'x,y+1/2,-z'
'y+3/4,-x+3/4,z+1/4'
'-y+3/4,x+3/4,-z+1/4'
'x+1/2,-y+1/2,-z+1/2'
'-x+1/2,y+1/2,z+1/2'
'-y+3/4,-x+3/4,-z+1/4'
'y+3/4,x+3/4,z+1/4'
'-x,y+1/2,-z'
'x,-y+1/2,z'
'y+3/4,x+1/4,-z+3/4'
'-y+3/4,-x+1/4,z+3/4'
loop_
_atom_site_label
_atom_site_fract_x
_atom_site_fract_y
_atom_site_fract_z
_atom_site_occupancy
Cu1 0.000 0.250 0.375 1
Ir1 0.000 0.250 0.875 1
S1 0.000 0.250 0.093 1
# Crystal system: tetragonal
# E_form (uncorrected): 0.013 eV per atom
# M_tot: 0.000 μB per cell